--- A ---
CdPdF2 GGA-PBEsol optimized geometry; symmetry = R-3m, No. 166; spin magnetization = 0.3589 μB/atom
1.0
3.052 0.000 0.000
1.526 2.644 0.000
1.526 0.881 7.672
Cd Pd F
1 1 2
direct
0.000 0.000 0.000 Cd
0.500 0.500 0.500 Pd
0.896 0.896 0.312 F
0.104 0.104 0.688 F

--- B ---
CdPdF2 GGA-PBEsol optimized geometry; symmetry = Fm-3m, No. 225; spin magnetization = 0.0808 μB/atom
1.0
-0.275 3.768 -1.784
-2.963 0.751 -2.848
-3.198 2.523 0.929
Pd Cd F
1 1 2
direct
0.000 0.000 0.000 Pd
0.500 0.500 0.500 Cd
0.250 0.250 0.250 F
0.750 0.750 0.750 F

Order of stability, best first: B, A

--- A ---
ScCd3F GGA-PBEsol optimized geometry; symmetry = Pm-3m, No. 221; spin magnetization = 0.0001 μB/atom
1.0
4.709 0.000 0.000
0.000 4.709 0.000
0.000 0.000 4.709
F Cd Sc
1 3 1
direct
0.000 0.000 0.000 F
0.000 0.000 0.500 Cd
0.500 0.000 0.000 Cd
0.000 0.500 0.000 Cd
0.500 0.500 0.500 Sc

--- B ---
ScCd3F GGA-PBEsol optimized geometry; symmetry = Pm-3m, No. 221; spin magnetization = 0.0009 μB/atom
1.0
-2.590 -4.725 1.684
1.725 0.940 5.293
-4.711 2.943 1.012
Cd Sc F
3 1 1
direct
0.500 0.000 0.000 Cd
0.000 0.000 0.500 Cd
0.000 0.500 0.000 Cd
0.000 0.000 0.000 Sc
0.500 0.500 0.500 F

Order of stability, best first: A, B

--- A ---
KCd2Fe GGA-PBEsol optimized geometry; symmetry = P4mm, No. 99; spin magnetization = 0.6631 μB/atom
1.0
-1.681 -2.813 -1.372
-0.897 -1.059 3.271
-6.696 4.230 -0.467
Cd Fe K
2 1 1
direct
0.500 0.500 0.301 Cd
0.000 0.000 0.061 Cd
0.000 0.000 0.401 Fe
0.500 0.500 0.737 K

--- B ---
KCd2Fe GGA-PBEsol optimized geometry; symmetry = I4/mmm, No. 139; spin magnetization = 0.7470 μB/atom
1.0
-1.712 4.707 0.108
-3.228 -3.850 0.419
-2.230 -0.912 4.392
Fe K Cd
1 1 2
direct
0.500 0.000 0.500 Fe
0.000 0.000 0.000 K
0.750 0.500 0.750 Cd
0.250 0.500 0.250 Cd

--- C ---
KCd2Fe GGA-PBEsol optimized geometry; symmetry = P4/mmm, No. 123; spin magnetization = 0.7293 μB/atom
1.0
4.233 0.000 0.000
0.000 4.620 0.000
0.000 0.000 4.620
Cd K Fe
2 1 1
direct
0.000 0.000 0.500 Cd
0.000 0.500 0.000 Cd
0.500 0.000 0.000 K
0.500 0.500 0.500 Fe

Order of stability, best first: A, B, C

--- A ---
MnCd2Fe GGA-PBEsol optimized geometry; symmetry = F-43m, No. 216; spin magnetization = 1.3701 μB/atom
1.0
4.457 0.000 0.000
2.228 3.859 0.000
2.228 1.286 3.639
Cd Fe Mn
2 1 1
direct
0.000 0.000 0.000 Cd
0.750 0.750 0.750 Cd
0.500 0.500 0.500 Fe
0.250 0.250 0.250 Mn

--- B ---
MnCd2Fe GGA-PBEsol optimized geometry; symmetry = Pmmm, No. 47; spin magnetization = 1.4032 μB/atom
1.0
2.821 0.000 0.031
0.000 3.926 0.000
-0.068 0.000 5.627
Cd Fe Mn
2 1 1
direct
0.000 0.000 0.247 Cd
0.000 0.000 0.753 Cd
0.500 0.500 0.000 Fe
0.500 0.500 0.500 Mn

Order of stability, best first: B, A

--- A ---
Cd2FeMo GGA-PBEsol optimized geometry; symmetry = P4mm, No. 99; spin magnetization = 0.0021 μB/atom
1.0
2.907 0.000 0.000
0.000 2.907 0.000
0.000 0.000 7.602
Mo Cd Fe
1 2 1
direct
0.500 0.500 0.700 Mo
0.000 0.000 0.983 Cd
0.500 0.500 0.285 Cd
0.000 0.000 0.532 Fe

--- B ---
Cd2FeMo GGA-PBEsol optimized geometry; symmetry = I4/mmm, No. 139; spin magnetization = 0.7490 μB/atom
1.0
3.887 0.000 0.000
0.000 3.887 0.000
-1.944 -1.944 4.289
Mo Fe Cd
1 1 2
direct
0.000 0.000 0.000 Mo
0.500 0.500 0.000 Fe
0.750 0.250 0.500 Cd
0.250 0.750 0.500 Cd

--- C ---
Cd2FeMo GGA-PBEsol optimized geometry; symmetry = F-43m, No. 216; spin magnetization = 0.2038 μB/atom
1.0
4.490 0.000 0.000
2.245 3.888 0.000
2.245 1.296 3.666
Mo Cd Fe
1 2 1
direct
0.250 0.250 0.250 Mo
0.750 0.750 0.750 Cd
0.000 0.000 0.000 Cd
0.500 0.500 0.500 Fe

Order of stability, best first: A, C, B

--- A ---
Cd2FeNi GGA-PBEsol optimized geometry; symmetry = F-43m, No. 216; spin magnetization = 0.8167 μB/atom
1.0
4.408 0.000 0.000
2.204 3.817 0.000
2.204 1.272 3.599
Cd Ni Fe
2 1 1
direct
0.250 0.250 0.250 Cd
0.000 0.000 0.000 Cd
0.750 0.750 0.750 Ni
0.500 0.500 0.500 Fe

--- B ---
Cd2FeNi GGA-PBEsol optimized geometry; symmetry = C2/m, No. 12; spin magnetization = 0.7604 μB/atom
1.0
2.816 0.000 0.000
-1.408 4.504 -0.002
0.000 -0.923 4.787
Fe Cd Ni
1 2 1
direct
0.000 0.000 0.500 Fe
0.754 0.507 0.754 Cd
0.246 0.493 0.246 Cd
0.500 0.000 0.000 Ni

--- C ---
Cd2FeNi GGA-PBEsol optimized geometry; symmetry = I4/mmm, No. 139; spin magnetization = 0.6834 μB/atom
1.0
-3.841 -1.491 0.152
2.392 -0.065 3.898
-0.986 2.829 2.832
Cd Fe Ni
2 1 1
direct
0.750 0.500 0.750 Cd
0.250 0.500 0.250 Cd
0.000 0.000 0.000 Fe
0.500 0.000 0.500 Ni

Order of stability, best first: C, A, B

--- A ---
CdFePO2 GGA-PBEsol optimized geometry; symmetry = P4/mmm, No. 123; spin magnetization = 0.8488 μB/atom
1.0
3.953 0.000 0.000
0.000 3.953 0.000
0.000 0.000 5.118
O Cd Fe P
2 1 1 1
direct
0.000 0.500 0.000 O
0.500 0.000 0.000 O
0.000 0.000 0.000 Cd
0.500 0.500 0.500 Fe
0.000 0.000 0.500 P

--- B ---
CdFePO2 GGA-PBEsol optimized geometry; symmetry = P4/mmm, No. 123; spin magnetization = 0.5680 μB/atom
1.0
3.649 0.000 0.000
0.000 3.649 0.000
0.000 0.000 4.829
Cd O P Fe
1 2 1 1
direct
0.500 0.500 0.500 Cd
0.000 0.500 0.000 O
0.500 0.000 0.000 O
0.000 0.000 0.500 P
0.000 0.000 0.000 Fe

Order of stability, best first: B, A

--- A ---
CdFeOs2 GGA-PBEsol optimized geometry; symmetry = Pmm2, No. 25; spin magnetization = 0.6727 μB/atom
1.0
-1.365 -1.815 -1.554
1.596 -2.857 1.936
-4.264 0.088 3.644
Cd Fe Os
1 1 2
direct
0.000 0.000 0.512 Cd
0.500 0.500 0.770 Fe
0.500 0.500 0.210 Os
0.000 0.000 0.008 Os

--- B ---
CdFeOs2 GGA-PBEsol optimized geometry; symmetry = I-4m2, No. 119; spin magnetization = 0.6372 μB/atom
1.0
-3.457 0.999 1.499
-1.542 0.036 -3.580
1.598 -4.164 1.393
Cd Os Fe
1 2 1
direct
0.500 0.500 0.000 Cd
0.750 0.250 0.500 Os
0.000 0.000 0.000 Os
0.250 0.750 0.500 Fe

Order of stability, best first: A, B